[1]
A plane-wave DFT calculation with GGA-PBE was carried out for Y4CoBr5 after structural relaxation.

a = 3.9122 Å, b = 8.4331 Å, c = 9.5289 Å
α = 102.51°, β = 101.85°, γ = 90.00°
Sites, in units of the cell vectors:
Br 0.5000 0.5000 0.0000
Br 0.1775 0.8406 0.3550
Br 0.8320 0.6630 0.6640
Y 0.3546 0.9222 0.7092
Y 0.6454 0.0778 0.2908
Y 0.0009 0.2094 0.0018
Y 0.9991 0.7906 0.9982
Br 0.8225 0.1594 0.6450
Co 0.5000 0.0000 0.0000
Br 0.1680 0.3370 0.3360

Output
Electronic total energy = -0.40234 Ry/atom
Formation energy without anion corrections = -1294 kJ/mol of formula units
Space-group type = C2/m
Total moment = 0.00 Bohr magnetons per cell
N(E_F) = 4.34 states/eV/f.u.
E above lowest polymorph = 0.000 eV per atom

***

[2]
A plane-wave DFT calculation with GGA-PBE was carried out for Y2CoBr after structural relaxation.

a = 5.0301 Å, b = 5.0301 Å, c = 5.0301 Å
α = 60.00°, β = 60.00°, γ = 60.00°
Last column: magnetic moment on the atom in μB.
Sites, in units of the cell vectors:
Br 0.5000 0.5000 0.5000  0.01
Y 0.2500 0.2500 0.2500  -0.09
Co 0.7500 0.7500 0.7500  0.92
Y 0.0000 0.0000 0.0000  -0.23

Output
Electronic total energy = -0.36691 Ry/atom
Formation energy without anion corrections = 168 kJ/mol of formula units
Space-group type = F-43m
Total moment = 0.39 Bohr magnetons per cell
N(E_F) = 5.02 states/eV/f.u.
E above lowest polymorph = 1.149 eV per atom

***

[3]
A plane-wave DFT calculation with GGA-PBE was carried out for Y2CoBr after structural relaxation.

a = 3.3828 Å, b = 3.3828 Å, c = 8.1027 Å
α = 90.00°, β = 90.00°, γ = 90.05°
Last column: magnetic moment on the atom in μB.
Sites, in units of the cell vectors:
Br 0.5000 0.5000 0.2500  -0.01
Y 0.0000 0.0000 0.9520  -0.07
Y 0.0000 0.0000 0.5480  -0.07
Co 0.5000 0.5000 0.7500  0.82

Output
Electronic total energy = -0.43868 Ry/atom
Formation energy without anion corrections = -209 kJ/mol of formula units
Space-group type = P4/mmm
Total moment = 0.57 Bohr magnetons per cell
N(E_F) = 2.42 states/eV/f.u.
E above lowest polymorph = 0.173 eV per atom

***

[4]
A plane-wave DFT calculation with GGA-PBE was carried out for Y2CoBr after structural relaxation.

a = 5.3084 Å, b = 5.3084 Å, c = 5.3084 Å
α = 135.56°, β = 112.49°, γ = 84.46°
Sites, in units of the cell vectors:
Co 0.2500 0.7500 0.5000
Y 0.4788 0.4788 0.0000
Br 0.7500 0.2500 0.5000
Y 0.0212 0.0212 0.0000

Output
Electronic total energy = -0.41769 Ry/atom
Formation energy without anion corrections = -99 kJ/mol of formula units
Space-group type = Immm
Total moment = 0.00 Bohr magnetons per cell
N(E_F) = 2.69 states/eV/f.u.
E above lowest polymorph = 0.458 eV per atom

***

[5]
A plane-wave DFT calculation with GGA-PBE was carried out for Y2CoBr after structural relaxation.

a = 3.8784 Å, b = 3.8784 Å, c = 7.9272 Å
α = 75.83°, β = 75.83°, γ = 60.02°
Sites, in units of the cell vectors:
Y 0.9801 0.9801 0.0594
Y 0.5199 0.5199 0.4406
Br 0.7500 0.7500 0.7500
Co 0.2500 0.2500 0.2500

Output
Electronic total energy = -0.45138 Ry/atom
Formation energy without anion corrections = -276 kJ/mol of formula units
Space-group type = R-3m
Total moment = 0.00 Bohr magnetons per cell
N(E_F) = 1.42 states/eV/f.u.
E above lowest polymorph = 0.000 eV per atom

***

[6]
A plane-wave DFT calculation with GGA-PBE was carried out for Y3CoBr after structural relaxation.

a = 5.2658 Å, b = 5.2658 Å, c = 5.2658 Å
α = 90.00°, β = 90.00°, γ = 90.00°
Sites, in units of the cell vectors:
Y 0.0000 0.0000 0.5000
Y 0.5000 0.0000 0.0000
Co 0.0000 0.0000 0.0000
Br 0.5000 0.5000 0.5000
Y 0.0000 0.5000 0.0000

Output
Electronic total energy = -0.42995 Ry/atom
Formation energy without anion corrections = -104 kJ/mol of formula units
Space-group type = Pm-3m
Total moment = 0.00 Bohr magnetons per cell
N(E_F) = 4.61 states/eV/f.u.
E above lowest polymorph = 0.000 eV per atom

***

[7]
A plane-wave DFT calculation with GGA-PBE was carried out for YCoBr4 after structural relaxation.

a = 6.1778 Å, b = 6.1778 Å, c = 6.1778 Å
α = 60.00°, β = 60.00°, γ = 60.00°
Last column: magnetic moment on the atom in μB.
Sites, in units of the cell vectors:
Br 0.3754 0.3754 0.8738  0.24
Co 0.7500 0.7500 0.7500  2.23
Y 0.0000 0.0000 0.0000  -0.04
Br 0.3754 0.8738 0.3754  0.24
Br 0.8738 0.3754 0.3754  0.24
Br 0.3754 0.3754 0.3754  0.24

Output
Electronic total energy = -0.21017 Ry/atom
Formation energy without anion corrections = 300 kJ/mol of formula units
Space-group type = F-43m
Total moment = 3.54 Bohr magnetons per cell
N(E_F) = 8.86 states/eV/f.u.

***

[8]
A plane-wave DFT calculation with GGA-PBE was carried out for Y2CoBr after structural relaxation.

a = 9.9478 Å, b = 9.9478 Å, c = 9.9478 Å
α = 20.89°, β = 20.89°, γ = 20.89°
Last column: magnetic moment on the atom in μB.
Sites, in units of the cell vectors:
Y 0.0127 0.0127 0.0127  -0.21
Y 0.2412 0.2412 0.2412  0.33
Br 0.5051 0.5051 0.5051  0.00
Co 0.7410 0.7410 0.7410  1.56

Output
Electronic total energy = -0.40661 Ry/atom
Formation energy without anion corrections = -41 kJ/mol of formula units
Space-group type = R3m
Total moment = 1.84 Bohr magnetons per cell
N(E_F) = 4.04 states/eV/f.u.
E above lowest polymorph = 0.609 eV per atom

***

[9]
A plane-wave DFT calculation with GGA-PBE was carried out for Y2CoBr after structural relaxation.

a = 7.2316 Å, b = 7.2316 Å, c = 6.5034 Å
α = 56.22°, β = 56.22°, γ = 90.00°
Sites, in units of the cell vectors:
Y 0.1692 0.6250 0.2500
Y 0.5808 0.1250 0.2500
Y 0.8750 0.8308 0.7500
Br 0.7500 0.2500 0.5000
Br 0.0000 0.0000 0.0000
Co 0.2500 0.7500 0.5000
Co 0.5000 0.5000 0.0000
Y 0.3750 0.4192 0.7500

Output
Electronic total energy = -0.41656 Ry/atom
Formation energy without anion corrections = -93 kJ/mol of formula units
Space-group type = I-42d
Total moment = 0.00 Bohr magnetons per cell
N(E_F) = 3.68 states/eV/f.u.
E above lowest polymorph = 0.474 eV per atom

***

[10]
A plane-wave DFT calculation with GGA-PBE was carried out for Y2CoBr after structural relaxation.

a = 8.1637 Å, b = 8.1638 Å, c = 8.1638 Å
α = 154.50°, β = 155.09°, γ = 35.95°
Last column: magnetic moment on the atom in μB.
Sites, in units of the cell vectors:
Y 0.7766 0.2766 0.5000  0.00
Br 0.4492 0.4492 0.0000  0.00
Co 0.1992 0.6992 0.5000  0.28
Y 0.0750 0.0750 0.0000  0.08

Output
Electronic total energy = -0.43690 Ry/atom
Formation energy without anion corrections = -200 kJ/mol of formula units
Space-group type = Imm2
Total moment = 0.46 Bohr magnetons per cell
N(E_F) = 4.21 states/eV/f.u.
E above lowest polymorph = 0.197 eV per atom

***

[11]
A plane-wave DFT calculation with GGA-PBE was carried out for Y2CoBr after structural relaxation.

a = 6.3545 Å, b = 6.3545 Å, c = 6.3545 Å
α = 143.48°, β = 143.48°, γ = 52.61°
Sites, in units of the cell vectors:
Y 0.2500 0.7500 0.5000
Co 0.7500 0.2500 0.5000
Y 0.0000 0.0000 0.0000
Br 0.5000 0.5000 0.0000

Output
Electronic total energy = -0.41017 Ry/atom
Formation energy without anion corrections = -59 kJ/mol of formula units
Space-group type = I-4m2
Total moment = 0.00 Bohr magnetons per cell
N(E_F) = 2.37 states/eV/f.u.
E above lowest polymorph = 0.561 eV per atom

***

[12]
A plane-wave DFT calculation with GGA-PBE was carried out for Y2CoBr after structural relaxation.

a = 5.0127 Å, b = 5.0127 Å, c = 5.0127 Å
α = 60.00°, β = 60.00°, γ = 60.00°
Sites, in units of the cell vectors:
Co 0.0000 0.0000 0.0000
Y 0.7500 0.7500 0.7500
Y 0.2500 0.2500 0.2500
Br 0.5000 0.5000 0.5000

Output
Electronic total energy = -0.41120 Ry/atom
Formation energy without anion corrections = -65 kJ/mol of formula units
Space-group type = Fm-3m
Total moment = 0.00 Bohr magnetons per cell
N(E_F) = 6.43 states/eV/f.u.
E above lowest polymorph = 0.547 eV per atom

***

Number 10 is which compound? Y2CoBr

***

Which value of formation energy without anion corrections does entry 6 give? -104 kJ/mol of formula units